A geometry-optimized MoPBrO4 structure. Source: Alexandria, functional PBE with a Hubbard U.

abc: 5.7719 5.7719 6.4063
angles: 76.21 76.21 70.37
Closest atoms and distances in Å follow each position.
Element x y z (fractional)
O: 0.4718 0.4718 0.7686  1 P 1.53
P: 0.6395 0.6395 0.7310  4 O 1.53-1.57
O: 0.7185 0.7185 0.4841  1 P 1.54
Br: 0.9800 0.9800 0.7725  2 Mo 2.60-2.71, 3 O 2.84
Mo: 0.7620 0.7620 0.1561  4 O 2.02-2.17
O: 0.5282 0.5282 0.2314  1 P 1.53
Mo: 0.2380 0.2380 0.8439  4 O 2.02-2.17
O: 0.2815 0.2815 0.5159  1 P 1.54
O: 0.5172 0.8757 0.8441  1 P 1.57
P: 0.3605 0.3605 0.2690  4 O 1.53-1.57
O: 0.8757 0.5172 0.8441  1 P 1.57
O: 0.4828 0.1243 0.1559  1 P 1.57
Br: 0.0200 0.0200 0.2275  2 Mo 2.60-2.71, 3 O 2.84
O: 0.1243 0.4828 0.1559  1 P 1.57

Raw total energy: -6.405 eV/atom